A plane-wave DFT calculation with PBE was carried out for crystalline AlAgOs2 at its relaxed geometry.

POSCAR file:
```
AlAgOs2
1.0
2.8088 0.0000 0.0000
-1.4044 2.4325 0.0000
0.0000 0.0000 26.7452
Al Ag Os
3 3 6
Cartesian
0.0000 0.0000 0.0000 Al
0.0000 1.6217 17.8301 Al
1.4044 0.8108 8.9151 Al
0.0000 0.0000 6.6376 Ag
0.0000 1.6217 24.4677 Ag
1.4044 0.8108 15.5527 Ag
0.0000 0.0000 13.0846 Os
0.0000 0.0000 19.9401 Os
0.0000 1.6217 4.1695 Os
0.0000 1.6217 11.0250 Os
1.4044 0.8108 2.1099 Os
1.4044 0.8108 21.9996 Os
```

Computed properties:
raw total energy: -85.307 eV per cell
space-group type: No. 160
formation energy: 15 kJ per mole of atoms